A plane-wave DFT calculation with PBE was carried out for Mg2Be2Ga after structural relaxation.

Cell: 6.167 6.167 3.988 Å, 90.00 90.00 90.00°
Fractional positions:
Mg 0.669 0.831 0.500
Be 0.124 0.376 0.000
Be 0.376 0.876 0.000
Be 0.876 0.624 0.000
Be 0.624 0.124 0.000
Mg 0.169 0.669 0.500
Mg 0.831 0.331 0.500
Ga 0.500 0.500 0.000
Ga 0.000 0.000 0.000
Mg 0.331 0.169 0.500

Summary:
Calculated formation energy in eV/atom: 0.125
Symmetry: P4/mbm (127)